TiCr3Os: relaxed, PBE.

Cell: 4.594 4.594 4.594 Å, 90.00 90.00 90.00°
Each line ends with the local moment (μB).
Fractional positions:
Cr1 0.000 0.500 0.000  2.57
Cr2 0.000 0.000 0.500  2.32
Cr3 0.500 0.000 0.000  2.77
Os1 0.000 0.000 0.000  -0.45
Ti1 0.500 0.500 0.500  -1.39

Properties
The space-group type is Pm-3m. The value obtained for the formation energy is 1274 meV per atom. The calculation puts the polymorph energy (0 for the lowest one) at 0 meV per atom. The value obtained for the density is 6.75 g/cm3. Its volume is 19.39 A^3/atom. As for the magnetization: 1.191 μB/atom.